# CaBe3Fe

A geometry-optimized CaBe3Fe structure (PBE, Alexandria).

As for the magnetic moment: 0.000 Bohr magnetons per cell. The calculation puts the offset from the most stable computed form at 0.000 eV per atom. Its formation energy from the elements is 0.26 eV/atom.

Cell: 4.1415 4.1415 4.1415 Å, 90.00 90.00 90.00°
Space group Pm-3m (No. 221)
Asymmetric unit:
Ca 0.0000 0.0000 0.0000 [1 per cell]
Be 0.0000 0.5000 0.5000 [3 per cell]
Fe 0.5000 0.5000 0.5000 [1 per cell]

***

# SbICl3

A geometry-optimized SbICl3 structure (PBE, Alexandria).

As for the magnetic moment: 0.000 Bohr magnetons per cell. The calculation puts the offset from the most stable computed form at 0.000 eV per atom.

Cell: 8.5302 14.5690 7.0710 Å, 90.00 90.00 90.00°
Space group Ama2 (No. 40)
Asymmetric unit:
Sb 0.2500 0.2244 0.0000 [4 per cell]
I 0.2500 0.4178 0.0868 [4 per cell]
Cl 0.0411 0.1705 0.1932 [8 per cell]
Cl 0.2500 0.0951 0.7697 [4 per cell]

***

# Sr2PrHg

A geometry-optimized Sr2PrHg structure (PBE, Alexandria).

As for the magnetic moment: 1.161 Bohr magnetons per cell. The calculation puts the offset from the most stable computed form at 0.220 eV per atom. Its formation energy from the elements is 0.05 eV/atom.

Cell: 3.8992 3.8992 37.0852 Å, 90.00 90.00 120.00°
Space group R-3m (No. 166, hexagonal axes)
Asymmetric unit:
Sr 0.0000 0.0000 0.1004 [6 per cell]
Pr 0.0000 0.0000 0.0000 [3 per cell]
Hg 0.0000 0.0000 0.5000 [3 per cell]

***

# TlSiIr2

A geometry-optimized TlSiIr2 structure (PBE, Alexandria).

As for the magnetic moment: 0.000 Bohr magnetons per cell. The calculation puts the offset from the most stable computed form at 0.316 eV per atom.

Cell: 3.6508 4.8966 7.5341 Å, 90.00 90.00 90.00°
Space group Immm (No. 71)
Asymmetric unit:
Tl 0.0000 0.0000 0.0000 [2 per cell]
Si 0.0000 0.0000 0.5000 [2 per cell]
Ir 0.0000 0.5000 0.2012 [4 per cell]

***

# KCa3W

A geometry-optimized KCa3W structure (PBE, Alexandria).

As for the magnetic moment: 0.000 Bohr magnetons per cell. The calculation puts the offset from the most stable computed form at 1.153 eV per atom. Its formation energy from the elements is 2.02 eV/atom.

Cell: 5.3431 5.3431 5.3431 Å, 90.00 90.00 90.00°
Space group Pm-3m (No. 221)
Asymmetric unit:
K 0.0000 0.0000 0.0000 [1 per cell]
Ca 0.0000 0.0000 0.5000 [3 per cell]
W 0.5000 0.5000 0.5000 [1 per cell]

***

# BiPF3

A geometry-optimized BiPF3 structure (PBE, Alexandria).

As for the magnetic moment: 0.151 Bohr magnetons per cell. The calculation puts the offset from the most stable computed form at 0.000 eV per atom.

Cell: 6.3375 3.4698 8.4046 Å, 90.00 100.99 90.00°
Space group P2_1/m (No. 11)
Asymmetric unit:
Bi 0.2172 0.2500 0.3843 [2 per cell]
P 0.4362 0.2500 0.0548 [2 per cell]
F 0.0580 0.7500 0.2233 [2 per cell]
F 0.1489 0.7500 0.5670 [2 per cell]
F 0.4822 0.7500 0.3777 [2 per cell]

***

# TaCoMo

A geometry-optimized TaCoMo structure (PBE, Alexandria).

As for the magnetic moment: 0.000 Bohr magnetons per cell. The calculation puts the offset from the most stable computed form at 0.036 eV per atom. Its formation energy from the elements is -0.11 eV/atom.

Cell: 4.8726 8.4145 17.4004 Å, 90.00 90.00 90.00°
Space group Fddd (No. 70, origin choice 2)
Asymmetric unit:
Ta 0.1250 0.1250 0.0450 [16 per cell]
Co 0.1250 0.1250 0.5016 [16 per cell]
Mo 0.1250 0.2974 0.6250 [16 per cell]

***

# TlAgSe2

A geometry-optimized TlAgSe2 structure (PBE, Alexandria).

As for the magnetic moment: 0.000 Bohr magnetons per cell. The calculated total energy comes out at -2.958 eV per atom.

Cell: 3.1762 27.7102 4.6916 Å, 90.00 90.00 90.00°
Space group Cmcm (No. 63)
Asymmetric unit:
Tl 0.0000 0.0465 0.2500 [4 per cell]
Ag 0.0000 0.3036 0.2500 [4 per cell]
Se 0.0000 0.1114 0.7500 [4 per cell]
Se 0.0000 0.2066 0.2500 [4 per cell]

***

# Tb2Dy3In6

A geometry-optimized Tb2Dy3In6 structure (PBE, Alexandria).

As for the magnetic moment: 0.001 Bohr magnetons per cell. Its formation energy from the elements is 0.10 eV/atom.

Cell: 5.8023 5.8023 22.4743 Å, 90.00 90.00 90.00°
Space group I4/mmm (No. 139)
Asymmetric unit:
Tb 0.0000 0.0000 0.0788 [4 per cell]
Dy 0.0000 0.0000 0.3562 [4 per cell]
Dy 0.0000 0.0000 0.5000 [2 per cell]
In 0.0000 0.0000 0.2180 [4 per cell]
In 0.0000 0.5000 0.0682 [8 per cell]

***

# Ca2C

A geometry-optimized Ca2C structure (PBE, Alexandria).

As for the magnetic moment: 0.298 Bohr magnetons per cell. The calculation puts the offset from the most stable computed form at 0.315 eV per atom. Its formation energy from the elements is 0.35 eV/atom.

Cell: 3.9657 3.9657 16.9718 Å, 90.00 90.00 120.00°
Space group R-3m (No. 166, hexagonal axes)
Asymmetric unit:
Ca 0.0000 0.0000 0.2344 [6 per cell]
C 0.0000 0.0000 0.5000 [3 per cell]

***

# Hg2Pt

A geometry-optimized Hg2Pt structure (PBE, Alexandria).

As for the magnetic moment: 0.000 Bohr magnetons per cell. The calculation puts the offset from the most stable computed form at 0.552 eV per atom. Its formation energy from the elements is 0.49 eV/atom.

Cell: 5.5588 5.5588 10.2666 Å, 90.00 90.00 120.00°
Space group P6_3/mmc (No. 194)
Asymmetric unit:
Hg 0.0000 0.0000 0.0000 [2 per cell]
Hg 0.1666 0.3332 0.2500 [6 per cell]
Pt 0.3333 0.6667 0.0215 [4 per cell]

***

# Ga4Cu15Ge

A geometry-optimized Ga4Cu15Ge structure (PBE, Alexandria).

As for the magnetic moment: 0.000 Bohr magnetons per cell. Its formation energy from the elements is -0.07 eV/atom.

Cell: 3.6893 3.6893 18.6435 Å, 90.00 90.00 90.00°
Space group P4/mmm (No. 123)
Asymmetric unit:
Ga 0.0000 0.0000 0.1005 [2 per cell]
Ga 0.0000 0.0000 0.3004 [2 per cell]
Cu 0.0000 0.5000 0.0000 [2 per cell]
Cu 0.0000 0.5000 0.2002 [4 per cell]
Cu 0.0000 0.5000 0.4000 [4 per cell]
Cu 0.5000 0.5000 0.1004 [2 per cell]
Cu 0.5000 0.5000 0.3003 [2 per cell]
Cu 0.5000 0.5000 0.5000 [1 per cell]
Ge 0.0000 0.0000 0.5000 [1 per cell]

***

# LuPu2Mg

A geometry-optimized LuPu2Mg structure (PBE, Alexandria).

As for the magnetic moment: 12.598 Bohr magnetons per cell. The calculation puts the offset from the most stable computed form at 0.000 eV per atom. Its formation energy from the elements is 0.16 eV/atom.

Cell: 4.5253 4.5253 5.1677 Å, 90.00 90.00 90.00°
Space group P4/mmm (No. 123)
Asymmetric unit:
Lu 0.0000 0.0000 0.0000 [1 per cell]
Pu 0.0000 0.5000 0.5000 [2 per cell]
Mg 0.5000 0.5000 0.0000 [1 per cell]

***

# BaP2Rh

A geometry-optimized BaP2Rh structure (PBE, Alexandria).

As for the magnetic moment: 0.000 Bohr magnetons per cell. Its formation energy from the elements is -0.48 eV/atom.

Cell: 8.6932 3.5939 5.8229 Å, 90.00 105.24 90.00°
Space group Cm (No. 8)
Asymmetric unit:
Ba 0.0000 0.0000 0.0000 [2 per cell]
P 0.2144 0.0000 0.6272 [2 per cell]
P 0.4970 0.0000 0.5002 [2 per cell]
Rh 0.2816 0.5000 0.4181 [2 per cell]

***

# Nd2PuMg

A geometry-optimized Nd2PuMg structure (PBE, Alexandria).

As for the magnetic moment: 24.855 Bohr magnetons per cell. The calculation puts the offset from the most stable computed form at 0.081 eV per atom. Its formation energy from the elements is 0.15 eV/atom.

Cell: 7.8866 7.8866 7.8866 Å, 90.00 90.00 90.00°
Space group Fm-3m (No. 225)
Asymmetric unit:
Nd 0.2500 0.2500 0.2500 [8 per cell]
Pu 0.0000 0.0000 0.0000 [4 per cell]
Mg 0.0000 0.0000 0.5000 [4 per cell]

***

# CaMgPaN3

A geometry-optimized CaMgPaN3 structure (PBE, Alexandria).

As for the magnetic moment: 0.000 Bohr magnetons per cell. The calculated total energy comes out at -7.481 eV per atom.

Cell: 6.8915 3.6141 9.4102 Å, 90.00 108.75 90.00°
Space group P2_1/m (No. 11)
Asymmetric unit:
Ca 0.1828 0.2500 0.1318 [2 per cell]
Mg 0.0114 0.2500 0.6120 [2 per cell]
Pa 0.3118 0.7500 0.8493 [2 per cell]
N 0.0775 0.2500 0.8573 [2 per cell]
N 0.1652 0.7500 0.6154 [2 per cell]
N 0.4397 0.7500 0.1028 [2 per cell]

***

# CaPbF2

A geometry-optimized CaPbF2 structure (PBE, Alexandria).

As for the magnetic moment: 0.000 Bohr magnetons per cell. The calculation puts the offset from the most stable computed form at 0.341 eV per atom.

Cell: 6.1126 6.1126 10.6730 Å, 90.00 90.00 90.00°
Space group I-42d (No. 122)
Asymmetric unit:
Ca 0.0000 0.0000 0.0000 [4 per cell]
Pb 0.0000 0.0000 0.5000 [4 per cell]
F 0.1177 0.2500 0.1250 [8 per cell]

***

# PrHo5Mg4

A geometry-optimized PrHo5Mg4 structure (PBE, Alexandria).

As for the magnetic moment: 0.000 Bohr magnetons per cell. Its formation energy from the elements is -0.05 eV/atom.

Cell: 3.7318 3.7318 20.3263 Å, 90.00 90.00 90.00°
Space group P4/mmm (No. 123)
Asymmetric unit:
Pr 0.0000 0.0000 0.0000 [1 per cell]
Ho 0.5000 0.5000 0.1222 [2 per cell]
Ho 0.5000 0.5000 0.3115 [2 per cell]
Ho 0.5000 0.5000 0.5000 [1 per cell]
Mg 0.0000 0.0000 0.2175 [2 per cell]
Mg 0.0000 0.0000 0.4052 [2 per cell]

***

# CdTeAu2

A geometry-optimized CdTeAu2 structure (PBE, Alexandria).

As for the magnetic moment: 0.000 Bohr magnetons per cell. The calculation puts the offset from the most stable computed form at 0.056 eV per atom.

Cell: 3.3125 4.5304 6.3812 Å, 90.00 90.21 90.00°
Space group Pm (No. 6)
Asymmetric unit:
Cd 0.0000 0.0000 0.0000 [1 per cell]
Te 0.4943 0.5000 0.3837 [1 per cell]
Au 0.4972 0.0000 0.6306 [1 per cell]
Au 0.4993 0.5000 0.9198 [1 per cell]

***

# La2CeTe

A geometry-optimized La2CeTe structure (PBE, Alexandria).

As for the magnetic moment: 0.797 Bohr magnetons per cell. The calculation puts the offset from the most stable computed form at 0.000 eV per atom.

Cell: 4.9419 4.9419 4.8257 Å, 90.00 90.00 90.00°
Space group P4/mmm (No. 123)
Asymmetric unit:
La 0.0000 0.5000 0.0000 [2 per cell]
Ce 0.0000 0.0000 0.5000 [1 per cell]
Te 0.5000 0.5000 0.5000 [1 per cell]

***

# PmTcO4

A geometry-optimized PmTcO4 structure (PBE, Alexandria).

As for the magnetic moment: 8.051 Bohr magnetons per cell. The calculation puts the offset from the most stable computed form at 0.035 eV per atom.

Cell: 7.0443 11.3572 5.0777 Å, 90.00 129.42 90.00°
Space group C2/c (No. 15)
Asymmetric unit:
Pm 0.0000 0.1345 0.2500 [4 per cell]
Tc 0.0000 0.4057 0.7500 [4 per cell]
O 0.1436 0.2941 0.6527 [8 per cell]
O 0.2359 0.4690 0.1998 [8 per cell]

***

# RbPd3Se2

A geometry-optimized RbPd3Se2 structure (PBE, Alexandria).

As for the magnetic moment: 0.000 Bohr magnetons per cell. The calculated total energy comes out at -4.379 eV per atom.

Cell: 15.5344 4.1367 9.1165 Å, 90.00 111.73 90.00°
Space group C2/m (No. 12)
Asymmetric unit:
Rb 0.1405 0.0000 0.0506 [4 per cell]
Pd 0.0569 0.0000 0.3969 [4 per cell]
Pd 0.0924 0.5000 0.6303 [4 per cell]
Pd 0.1883 0.5000 0.4218 [4 per cell]
Se 0.0212 0.5000 0.2277 [4 per cell]
Se 0.1912 0.0000 0.6922 [4 per cell]

***

# Nd2InSnPt6

A geometry-optimized Nd2InSnPt6 structure (PBE, Alexandria).

As for the magnetic moment: 0.000 Bohr magnetons per cell. Its formation energy from the elements is -0.07 eV/atom.

Cell: 9.9382 9.9382 9.9382 Å, 90.00 90.00 90.00°
Space group Fm-3m (No. 225)
Asymmetric unit:
Nd 0.2500 0.2500 0.2500 [8 per cell]
In 0.0000 0.0000 0.0000 [4 per cell]
Sn 0.0000 0.0000 0.5000 [4 per cell]
Pt 0.0000 0.0000 0.2508 [24 per cell]

***

# EuGdErHg

A geometry-optimized EuGdErHg structure (PBE, Alexandria).

As for the magnetic moment: 0.257 Bohr magnetons per cell. Its formation energy from the elements is -0.04 eV/atom.

Cell: 7.7234 7.7234 7.7234 Å, 90.00 90.00 90.00°
Space group F-43m (No. 216)
Asymmetric unit:
Eu 0.0000 0.0000 0.0000 [4 per cell]
Gd 0.2500 0.2500 0.7500 [4 per cell]
Er 0.2500 0.2500 0.2500 [4 per cell]
Hg 0.0000 0.0000 0.5000 [4 per cell]